Entry 1:
# PBE-GGA Ca2Ag, optimized geometry
data_Ca2Ag
_cell_length_a 9.067
_cell_length_b 9.067
_cell_length_c 5.522
_cell_angle_alpha 90.00
_cell_angle_beta 90.00
_cell_angle_gamma 155.83
_symmetry_space_group_name_H-M 'P 1'
_symmetry_Int_Tables_number 1
loop_
_symmetry_equiv_pos_as_xyz
'x,y,z'
loop_
_atom_site_label
_atom_site_type_symbol
_atom_site_fract_x
_atom_site_fract_y
_atom_site_fract_z
Ca1 Ca 0.981 0.019 0.000
Ca2 Ca 0.845 0.155 0.500
Ag1 Ag 0.487 0.513 0.500
Ca3 Ca 0.266 0.734 0.000
Ca4 Ca 0.130 0.870 0.500
Ag2 Ag 0.625 0.375 0.000
# Uncorrected energy (eV per atom): -2.45
# Crystal system: orthorhombic
# Energy of formation (meV per atom): -168

***

Entry 2:
# PBE-GGA Ca2Ag, optimized geometry
data_Ca2Ag
_cell_length_a 10.151
_cell_length_b 10.151
_cell_length_c 10.151
_cell_angle_alpha 60.00
_cell_angle_beta 60.00
_cell_angle_gamma 60.00
_symmetry_space_group_name_H-M 'P 1'
_symmetry_Int_Tables_number 1
loop_
_symmetry_equiv_pos_as_xyz
'x,y,z'
loop_
_atom_site_label
_atom_site_type_symbol
_atom_site_fract_x
_atom_site_fract_y
_atom_site_fract_z
Ag1 Ag 0.280 0.280 0.780
Ca1 Ca 0.316 0.934 0.816
Ca2 Ca 0.316 0.934 0.434
Ag2 Ag 0.280 0.280 0.159
Ca3 Ca 0.066 0.684 0.184
Ca4 Ca 0.934 0.316 0.434
Ca5 Ca 0.934 0.316 0.816
Ca6 Ca 0.066 0.684 0.566
Ag3 Ag 0.280 0.659 0.780
Ca7 Ca 0.934 0.934 0.816
Ag4 Ag 0.720 0.720 0.841
Ca8 Ca 0.684 0.066 0.184
Ca9 Ca 0.684 0.684 0.566
Ca10 Ca 0.500 0.500 0.500
Ag5 Ag 0.720 0.720 0.220
Ca11 Ca 0.066 0.066 0.184
Ca12 Ca 0.000 0.500 0.000
Ca13 Ca 0.316 0.316 0.434
Ag6 Ag 0.659 0.280 0.780
Ag7 Ag 0.720 0.341 0.220
Ca14 Ca 0.500 0.000 0.000
Ag8 Ag 0.341 0.720 0.220
Ca15 Ca 0.500 0.500 0.000
Ca16 Ca 0.684 0.066 0.566
# Uncorrected energy (eV per atom): -2.50
# Crystal system: cubic
# Energy of formation (meV per atom): -213

***

Entry 3:
# PBE-GGA Ca4Ag, optimized geometry
data_Ca4Ag
_cell_length_a 5.844
_cell_length_b 5.844
_cell_length_c 5.844
_cell_angle_alpha 90.00
_cell_angle_beta 90.00
_cell_angle_gamma 90.00
_symmetry_space_group_name_H-M 'P 1'
_symmetry_Int_Tables_number 1
loop_
_symmetry_equiv_pos_as_xyz
'x,y,z'
loop_
_atom_site_label
_atom_site_type_symbol
_atom_site_fract_x
_atom_site_fract_y
_atom_site_fract_z
Ca1 Ca 0.500 0.500 0.000
Ca2 Ca 0.500 0.000 0.500
Ag1 Ag 0.500 0.500 0.500
Ca3 Ca 0.000 0.000 0.000
Ca4 Ca 0.000 0.500 0.500
# Uncorrected energy (eV per atom): -2.22
# E above lowest polymorph (meV per atom): 61
# Crystal system: cubic
# Energy of formation (meV per atom): -51

***

Entry 4:
# PBE-GGA Ca3Ag, optimized geometry
data_Ca3Ag
_cell_length_a 6.489
_cell_length_b 12.831
_cell_length_c 12.831
_cell_angle_alpha 90.00
_cell_angle_beta 90.00
_cell_angle_gamma 90.00
_symmetry_space_group_name_H-M 'P 1'
_symmetry_Int_Tables_number 1
loop_
_symmetry_equiv_pos_as_xyz
'x,y,z'
loop_
_atom_site_label
_atom_site_type_symbol
_atom_site_fract_x
_atom_site_fract_y
_atom_site_fract_z
Ca1 Ca 0.728 0.035 0.863
Ag1 Ag 0.777 0.205 0.048
Ca2 Ca 0.228 0.637 0.535
Ag2 Ag 0.723 0.705 0.548
Ag3 Ag 0.277 0.548 0.295
Ca3 Ca 0.772 0.535 0.363
Ca4 Ca 0.975 0.114 0.584
Ca5 Ca 0.272 0.863 0.965
Ca6 Ca 0.475 0.916 0.614
Ag4 Ag 0.777 0.795 0.952
Ca7 Ca 0.772 0.465 0.637
Ca8 Ca 0.516 0.672 0.781
Ca9 Ca 0.525 0.614 0.084
Ca10 Ca 0.984 0.172 0.281
Ca11 Ca 0.475 0.084 0.386
Ag5 Ag 0.723 0.295 0.452
Ca12 Ca 0.484 0.781 0.328
Ca13 Ca 0.272 0.137 0.035
Ca14 Ca 0.025 0.416 0.114
Ca15 Ca 0.984 0.828 0.719
Ca16 Ca 0.525 0.386 0.916
Ca17 Ca 0.516 0.328 0.219
Ag6 Ag 0.277 0.452 0.705
Ca18 Ca 0.484 0.219 0.672
Ca19 Ca 0.975 0.886 0.416
Ca20 Ca 0.016 0.719 0.172
Ca21 Ca 0.025 0.584 0.886
Ca22 Ca 0.728 0.965 0.137
Ag7 Ag 0.223 0.952 0.205
Ca23 Ca 0.016 0.281 0.828
Ca24 Ca 0.228 0.363 0.465
Ag8 Ag 0.223 0.048 0.795
# Uncorrected energy (eV per atom): -2.40
# E above lowest polymorph (meV per atom): 7
# Crystal system: tetragonal
# Energy of formation (meV per atom): -188

***

Entry 5:
# PBE-GGA CaAg, optimized geometry
data_CaAg
_cell_length_a 4.141
_cell_length_b 4.141
_cell_length_c 3.931
_cell_angle_alpha 90.00
_cell_angle_beta 90.00
_cell_angle_gamma 120.00
_symmetry_space_group_name_H-M 'P 1'
_symmetry_Int_Tables_number 1
loop_
_symmetry_equiv_pos_as_xyz
'x,y,z'
loop_
_atom_site_label
_atom_site_type_symbol
_atom_site_fract_x
_atom_site_fract_y
_atom_site_fract_z
Ca1 Ca 0.667 0.333 0.500
Ag1 Ag 0.000 0.000 0.000
# Uncorrected energy (eV per atom): -2.58
# Crystal system: hexagonal
# Energy of formation (meV per atom): -150

***

Entry 6:
# PBE-GGA CaAg, optimized geometry
data_CaAg
_cell_length_a 9.022
_cell_length_b 9.022
_cell_length_c 9.022
_cell_angle_alpha 90.00
_cell_angle_beta 90.00
_cell_angle_gamma 90.00
_symmetry_space_group_name_H-M 'P 1'
_symmetry_Int_Tables_number 1
loop_
_symmetry_equiv_pos_as_xyz
'x,y,z'
loop_
_atom_site_label
_atom_site_type_symbol
_atom_site_fract_x
_atom_site_fract_y
_atom_site_fract_z
Ag1 Ag 0.613 0.387 0.613
Ag2 Ag 0.887 0.113 0.113
Ag3 Ag 0.887 0.887 0.887
Ag4 Ag 0.113 0.113 0.887
Ag5 Ag 0.613 0.613 0.387
Ca1 Ca 0.201 0.201 0.201
Ag6 Ag 0.387 0.387 0.387
Ca2 Ca 0.299 0.701 0.299
Ca3 Ca 0.201 0.799 0.799
Ca4 Ca 0.701 0.701 0.701
Ca5 Ca 0.299 0.299 0.701
Ca6 Ca 0.799 0.201 0.799
Ag7 Ag 0.387 0.613 0.613
Ca7 Ca 0.701 0.299 0.299
Ca8 Ca 0.799 0.799 0.201
Ag8 Ag 0.113 0.887 0.113
# Uncorrected energy (eV per atom): -2.21
# Crystal system: cubic
# Energy of formation (meV per atom): 221

***

Entry 7:
# PBE-GGA Ca3Ag, optimized geometry
data_Ca3Ag
_cell_length_a 6.438
_cell_length_b 6.438
_cell_length_c 6.438
_cell_angle_alpha 135.11
_cell_angle_beta 135.11
_cell_angle_gamma 65.36
_symmetry_space_group_name_H-M 'P 1'
_symmetry_Int_Tables_number 1
loop_
_symmetry_equiv_pos_as_xyz
'x,y,z'
loop_
_atom_site_label
_atom_site_type_symbol
_atom_site_fract_x
_atom_site_fract_y
_atom_site_fract_z
Ca1 Ca 0.750 0.250 0.500
Ca2 Ca 0.500 0.500 0.000
Ag1 Ag 0.000 0.000 0.000
Ca3 Ca 0.250 0.750 0.500
# Uncorrected energy (eV per atom): -2.23
# E above lowest polymorph (meV per atom): 182
# Crystal system: tetragonal
# Energy of formation (meV per atom): -13

***

Entry 8:
# PBE-GGA CaAg2, optimized geometry
data_CaAg2
_cell_length_a 7.350
_cell_length_b 7.350
_cell_length_c 4.984
_cell_angle_alpha 90.00
_cell_angle_beta 90.00
_cell_angle_gamma 120.00
_symmetry_space_group_name_H-M 'P 1'
_symmetry_Int_Tables_number 1
loop_
_symmetry_equiv_pos_as_xyz
'x,y,z'
loop_
_atom_site_label
_atom_site_type_symbol
_atom_site_fract_x
_atom_site_fract_y
_atom_site_fract_z
Ag1 Ag 0.226 0.000 0.000
Ca1 Ca 0.333 0.667 0.000
Ca2 Ca 0.667 0.333 0.000
Ag2 Ag 0.000 0.226 0.000
Ag3 Ag 0.774 0.774 0.000
Ca3 Ca 0.000 0.000 0.500
Ag4 Ag 0.000 0.440 0.500
Ag5 Ag 0.440 0.000 0.500
Ag6 Ag 0.560 0.560 0.500
# Uncorrected energy (eV per atom): -2.66
# Crystal system: hexagonal
# Energy of formation (meV per atom): -93

***

Entry 9:
# PBE-GGA Ca5Ag3, optimized geometry
data_Ca5Ag3
_cell_length_a 9.166
_cell_length_b 9.166
_cell_length_c 9.150
_cell_angle_alpha 96.90
_cell_angle_beta 96.90
_cell_angle_gamma 139.38
_symmetry_space_group_name_H-M 'P 1'
_symmetry_Int_Tables_number 1
loop_
_symmetry_equiv_pos_as_xyz
'x,y,z'
loop_
_atom_site_label
_atom_site_type_symbol
_atom_site_fract_x
_atom_site_fract_y
_atom_site_fract_z
Ca1 Ca 0.749 0.250 0.500
Ag1 Ag 0.750 0.750 0.000
Ca2 Ca 0.918 0.787 0.705
Ca3 Ca 0.418 0.713 0.132
Ca4 Ca 0.787 0.082 0.868
Ca5 Ca 0.287 0.419 0.705
Ca6 Ca 0.213 0.919 0.132
Ag2 Ag 0.659 0.841 0.500
Ag3 Ag 0.250 0.250 0.000
Ag4 Ag 0.158 0.658 0.818
Ca7 Ca 0.582 0.287 0.868
Ca8 Ca 0.713 0.582 0.295
Ca9 Ca 0.249 0.750 0.500
Ag5 Ag 0.840 0.340 0.182
Ag6 Ag 0.340 0.159 0.500
Ca10 Ca 0.081 0.213 0.295
# Uncorrected energy (eV per atom): -2.57
# E above lowest polymorph (meV per atom): 33
# Crystal system: monoclinic
# Energy of formation (meV per atom): -248

***

Entry 10:
# PBE-GGA CaAg6, optimized geometry
data_CaAg6
_cell_length_a 6.436
_cell_length_b 6.436
_cell_length_c 6.436
_cell_angle_alpha 90.00
_cell_angle_beta 90.00
_cell_angle_gamma 90.00
_symmetry_space_group_name_H-M 'P 1'
_symmetry_Int_Tables_number 1
loop_
_symmetry_equiv_pos_as_xyz
'x,y,z'
loop_
_atom_site_label
_atom_site_type_symbol
_atom_site_fract_x
_atom_site_fract_y
_atom_site_fract_z
Ag1 Ag 0.500 0.199 0.500
Ag2 Ag 0.801 0.500 0.500
Ag3 Ag 0.500 0.801 0.500
Ag4 Ag 0.199 0.500 0.500
Ca1 Ca 0.000 0.000 0.000
Ag5 Ag 0.500 0.500 0.199
Ag6 Ag 0.500 0.500 0.801
# Uncorrected energy (eV per atom): -2.05
# E above lowest polymorph (meV per atom): 789
# Crystal system: cubic
# Energy of formation (meV per atom): 679